Li3Dy3TiSe8 | PBE-GGA | optimized geometry

## Properties
E_tot ... -5.24 eV/atom

a b c (Å): 7.960 7.960 7.960
angles (deg): 60.29 60.29 60.29
Fractional coordinates of all 15 atoms:
Li  0.000  0.500  0.500
Li  0.500  0.000  0.500
Li  0.500  0.500  0.000
Dy  0.000  0.000  0.500
Dy  0.000  0.500  0.000
Dy  0.500  0.000  0.000
Ti  0.500  0.500  0.500
Se  0.252  0.252  0.252
Se  0.267  0.267  0.728
Se  0.267  0.728  0.267
Se  0.272  0.733  0.733
Se  0.728  0.267  0.267
Se  0.733  0.272  0.733
Se  0.733  0.733  0.272
Se  0.748  0.748  0.748